No. 1
AlPtPb: optimized geometry, PBE-GGA.

```
3
Lattice="4.2160 1.5781 1.0332 0.9352 1.4568 4.2820 2.7892 -2.4762 2.7242" Properties=species:S:1:pos:R:3 pbc="T T T"
Pb 0.0000 0.0000 0.0000
Pt 5.9553 0.4190 6.0296
Al 1.9851 0.1397 2.0099
```

Calculated values
VASP energy, eV per atom: -4.23
Symmetry: F-43m (216)

---

No. 2
PuAlPb: optimized geometry, PBE-GGA.

```
3
Lattice="3.0217 1.4005 4.0534 -1.4540 3.9688 3.1076 -1.5864 -0.9569 4.9081" Properties=species:S:1:pos:R:3 pbc="T T T"
Pu 0.0000 0.0000 0.0000
Al -0.0047 1.1031 3.0173
Pb -0.0140 3.3093 9.0519
```

Calculated values
VASP energy, eV per atom: -6.88
Symmetry: F-43m (216)

---

No. 3
PuAlPb: optimized geometry, PBE-GGA.

```
3
Lattice="0.0000 3.5431 3.5431 3.5431 0.0000 3.5431 3.5431 3.5431 0.0000" Properties=species:S:1:pos:R:3 pbc="T T T"
Pu 5.3146 5.3146 5.3146
Al 1.7715 1.7715 1.7715
Pb 0.0000 0.0000 0.0000
```

Calculated values
VASP energy, eV per atom: -6.96
Symmetry: F-43m (216)

---

No. 4
ZrAlPbS3: optimized geometry, PBE-GGA.

```
12
Lattice="1.7278 -7.9873 0.0000 1.7278 7.9873 0.0000 0.0000 0.0000 9.9220" Properties=species:S:1:pos:R:3 pbc="T T T"
S 1.7278 6.0456 4.3703
S 1.7278 -6.0456 5.5517
Pb 1.7278 4.1576 7.4415
Zr 1.7278 0.0000 4.9610
Zr 1.7278 0.0000 0.0000
S 1.7278 6.0456 0.5907
S 1.7278 -0.8607 7.4415
Al 1.7278 7.2737 2.4805
S 1.7278 0.8607 2.4805
Al 1.7278 -7.2737 7.4415
Pb 1.7278 -4.1576 2.4805
S 1.7278 -6.0456 9.3313
```

Calculated values
VASP energy, eV per atom: -5.50
Symmetry: Cmcm (63)

---

No. 5
TbAlPbSe3: optimized geometry, PBE-GGA.

```
12
Lattice="1.9888 -7.4164 0.0000 1.9888 7.4164 0.0000 0.0000 0.0000 11.1855" Properties=species:S:1:pos:R:3 pbc="T T T"
Se 1.9888 2.0554 5.7095
Pb 1.9888 3.0433 2.7964
Al 1.9888 1.9224 8.3892
Se 1.9888 -2.0554 5.4761
Se 1.9888 -7.1517 8.3892
Pb 1.9888 -3.0433 8.3892
Se 1.9888 7.1517 2.7964
Tb 0.0000 0.0000 0.0000
Se 1.9888 2.0554 11.0688
Se 1.9888 -2.0554 0.1167
Al 1.9888 -1.9224 2.7964
Tb 0.0000 0.0000 5.5928
```

Calculated values
VASP energy, eV per atom: -4.68
Symmetry: Cmcm (63)

---

No. 6
TmAlPbSe3: optimized geometry, PBE-GGA.

```
12
Lattice="-2.1998 7.1630 1.7337 -1.2622 -7.5866 0.0583 5.1539 -0.7824 9.7719" Properties=species:S:1:pos:R:3 pbc="T T T"
Se 3.7197 -6.3591 9.9731
Se 0.4599 4.7755 6.3075
Pb -0.1679 -4.7284 2.8482
Se 2.1200 -0.5714 8.2507
Se -0.4281 -0.6345 3.3132
Se -2.0278 5.1531 1.5908
Se 1.2320 -5.9815 5.2564
Al 2.4833 -6.2873 7.6014
Tm 0.8459 -0.6030 5.7819
Al -0.7914 5.0813 3.9624
Pb 1.8598 3.5224 8.7157
Tm -1.7310 -0.2118 0.8960
```

Calculated values
VASP energy, eV per atom: -4.67
Symmetry: Cmcm (63)

---

No. 7
ZrAlPbSe3: optimized geometry, PBE-GGA.

```
12
Lattice="1.8319 -7.8774 0.0000 1.8319 7.8774 0.0000 0.0000 0.0000 9.9025" Properties=species:S:1:pos:R:3 pbc="T T T"
Se 1.8319 2.0575 9.4065
Se 1.8319 6.6281 7.4269
Al 1.8319 0.5708 7.4269
Se 1.8319 -2.0575 4.4552
Pb 1.8319 3.8118 2.4756
Zr 0.0000 0.0000 0.0000
Al 1.8319 -0.5708 2.4756
Zr 0.0000 0.0000 4.9513
Se 1.8319 -2.0575 0.4960
Se 1.8319 -6.6281 2.4756
Pb 1.8319 -3.8118 7.4269
Se 1.8319 2.0575 5.4473
```

Calculated values
VASP energy, eV per atom: -5.06
Symmetry: Cmcm (63)

---

No. 8
SmAlTe3Pb: optimized geometry, PBE-GGA.

```
12
Lattice="2.2343 -7.4099 0.0000 2.2343 7.4099 0.0000 0.0000 0.0000 11.1629" Properties=species:S:1:pos:R:3 pbc="T T T"
Te 2.2343 -5.2534 0.5999
Sm 2.2343 0.0000 0.0000
Te 2.2343 -1.4558 2.7907
Sm 2.2343 0.0000 5.5814
Te 2.2343 5.2534 6.1814
Te 2.2343 -5.2534 4.9815
Al 2.2343 -7.0663 2.7907
Pb 2.2343 3.0784 2.7907
Te 2.2343 5.2534 10.5629
Te 2.2343 1.4558 8.3722
Pb 2.2343 -3.0784 8.3722
Al 2.2343 7.0663 8.3722
```

Calculated values
VASP energy, eV per atom: -4.18
Symmetry: Cmcm (63)